# 1
# Cs2HgBi2Pb | the Alexandria database | GGA-PBE | optimized geometry
data_Cs2HgBi2Pb
_symmetry_space_group_name_H-M 'I b a m'
_symmetry_Int_Tables_number 72
_symmetry_space_group_name_Hall '-I 2 2c'
_cell_length_a 7.796
_cell_length_b 17.320
_cell_length_c 7.898
_cell_angle_alpha 90.00
_cell_angle_beta 90.00
_cell_angle_gamma 90.00
loop_
_atom_site_label
_atom_site_type_symbol
_atom_site_fract_x
_atom_site_fract_y
_atom_site_fract_z
Cs1 Cs 0.238 0.164 0.000
Hg1 Hg 0.000 0.000 0.250
Bi1 Bi 0.245 0.093 0.500
Pb1 Pb 0.000 0.500 0.250
# Energy of formation ... -0.290 eV/atom
# Electronic total energy ... -2.537 eV per atom

---

# 2
# Cs8SbAu2 | the Alexandria database | GGA-PBE | optimized geometry
data_Cs8SbAu2
_symmetry_space_group_name_H-M 'P -3'
_symmetry_Int_Tables_number 147
_symmetry_space_group_name_Hall '-P 3'
_cell_length_a 11.6529
_cell_length_b 11.6529
_cell_length_c 7.6864
_cell_angle_alpha 90.00
_cell_angle_beta 90.00
_cell_angle_gamma 120.00
loop_
_atom_site_label
_atom_site_type_symbol
_atom_site_fract_x
_atom_site_fract_y
_atom_site_fract_z
Cs1 Cs 0.1580 0.3174 0.2536
Cs2 Cs 0.3333 0.6667 0.7657
Sb1 Sb 0.0000 0.0000 0.5000
Au1 Au 0.3333 0.6667 0.2724
# E_form (uncorrected) ... -17.1 kJ per mole of atoms
# Electronic total energy ... -1.769 eV per atom